[1]
Computed, not measured: crystalline Na2HfBiS4 at its relaxed geometry at the PBE level of DFT.

Cell lengths 3.765, 7.064, 7.069 Å; angles 107.02, 90.00, 90.00 degrees
Fractional coordinates of all 8 atoms:
Na 0.500 0.000 0.500
Na 0.000 0.500 0.500
Hf 0.500 0.500 0.000
Bi 0.000 0.000 0.000
S 0.500 0.279 0.232
S 0.500 0.721 0.768
S 0.000 0.279 0.784
S 0.000 0.721 0.216

Output
Spin magnetization   0.0 Bohr magnetons per cell
Raw formation energy   -1.03 eV/atom

***

[2]
Computed, not measured: crystalline Na2HfBiSe at its relaxed geometry at the PBE level of DFT.

Cell lengths 5.606, 5.775, 5.606 Å; angles 90.00, 90.00, 90.00 degrees
Last column: magnetic moment on the atom in μB.
Fractional coordinates of all 5 atoms:
Na 0.000 0.000 0.500  0.00
Na 0.500 0.000 0.000  0.00
Hf 0.500 0.500 0.500  0.88
Bi 0.000 0.000 0.000  -0.18
Se 0.000 0.500 0.000  -0.08

Output
Spin magnetization   1.0 Bohr magnetons per cell
Raw formation energy   0.88 eV/atom